{
  "formula": "Cr3TcPb",
  "functional": "PBE",
  "state": "relaxed",
  "total_magnetization_mub_per_atom": 1.73,
  "de_polymorph_mev_per_atom": 0,
  "delta_e_f_ev_per_atom": 1.12,
  "lattice_angstrom": [[4.714, 0.000, 0.000], [0.000, 4.714, 0.000], [0.000, 0.000, 4.714]],
  "species": ["Cr", "Cr", "Cr", "Tc", "Pb"],
  "fractional_positions": [[0.000, 0.000, 0.500], [0.000, 0.500, 0.000], [0.500, 0.000, 0.000], [0.000, 0.000, 0.000], [0.500, 0.500, 0.500]]
}

=====

{
  "formula": "Cr2TcPb",
  "functional": "PBE",
  "state": "relaxed",
  "total_magnetization_mub_per_atom": 1.00,
  "de_polymorph_mev_per_atom": 157,
  "delta_e_f_ev_per_atom": 0.64,
  "lattice_angstrom": [[-2.051, 2.051, 3.820], [2.051, -2.051, 3.820], [2.051, 2.051, -3.820]],
  "species": ["Cr", "Cr", "Tc", "Pb"],
  "fractional_positions": [[0.250, 0.750, 0.500], [0.750, 0.250, 0.500], [0.000, 0.000, 0.000], [0.500, 0.500, 0.000]]
}

=====

{
  "formula": "CrTe2Pb",
  "functional": "PBE",
  "state": "relaxed",
  "total_magnetization_mub_per_atom": 1.09,
  "formation_energy_uncorrected_mev_per_atom": 455,
  "lattice_angstrom": [[0.000, 3.792, 3.792], [3.792, 0.000, 3.792], [3.792, 3.792, 0.000]],
  "species": ["Cr", "Te", "Te", "Pb"],
  "fractional_positions": [[0.000, 0.000, 0.000], [0.500, 0.500, 0.500], [0.750, 0.750, 0.750], [0.250, 0.250, 0.250]]
}

=====

{
  "formula": "CrTe2Pb",
  "functional": "PBE",
  "state": "relaxed",
  "total_magnetization_mub_per_atom": 0.98,
  "formation_energy_uncorrected_mev_per_atom": -4,
  "lattice_angstrom": [[4.224, 0.000, 0.000], [0.000, 3.881, 0.000], [-2.044, 0.000, 7.298]],
  "species": ["Cr", "Te", "Te", "Pb"],
  "fractional_positions": [[0.000, 0.000, 0.000], [0.330, 0.500, 0.231], [0.670, 0.500, 0.769], [0.000, 0.000, 0.500]]
}

=====

{
  "formula": "CrTePb2",
  "functional": "PBE",
  "state": "relaxed",
  "total_magnetization_mub_per_atom": 1.06,
  "formation_energy_uncorrected_mev_per_atom": 338,
  "lattice_angstrom": [[4.147, 0.000, 0.000], [0.000, 4.147, 0.000], [0.000, 0.000, 6.436]],
  "species": ["Cr", "Te", "Pb", "Pb"],
  "fractional_positions": [[0.000, 0.000, 0.000], [0.000, 0.000, 0.500], [0.500, 0.500, 0.242], [0.500, 0.500, 0.758]]
}

=====

{
  "formula": "CrTePb",
  "functional": "PBE",
  "state": "relaxed",
  "total_magnetization_mub_per_atom": 1.00,
  "formation_energy_uncorrected_mev_per_atom": 217,
  "de_polymorph_mev_per_atom": 66,
  "lattice_angstrom": [[3.719, 0.000, 0.000], [-1.859, 3.220, 0.000], [0.000, 0.000, 6.547]],
  "species": ["Cr", "Te", "Pb"],
  "fractional_positions": [[0.000, 0.000, 0.000], [0.333, 0.667, 0.767], [0.667, 0.333, 0.322]]
}

=====

{
  "formula": "CrTePb2",
  "functional": "PBE",
  "state": "relaxed",
  "total_magnetization_mub_per_atom": 0.93,
  "formation_energy_uncorrected_mev_per_atom": 239,
  "lattice_angstrom": [[-1.781, 2.814, 5.462], [1.781, -2.814, 5.462], [1.781, 2.814, -5.462]],
  "species": ["Cr", "Te", "Pb", "Pb"],
  "fractional_positions": [[0.000, 0.000, 0.000], [0.813, 0.313, 0.500], [0.234, 0.734, 0.500], [0.521, 0.521, 0.000]]
}

=====

{
  "formula": "CrTePb2",
  "functional": "PBE",
  "state": "relaxed",
  "total_magnetization_mub_per_atom": 0.88,
  "formation_energy_uncorrected_mev_per_atom": 151,
  "lattice_angstrom": [[1.871, 1.080, 9.352], [-1.871, 1.080, 9.352], [0.000, -2.160, 9.352]],
  "species": ["Cr", "Te", "Pb", "Pb"],
  "fractional_positions": [[0.000, 0.000, 0.000], [0.721, 0.721, 0.721], [0.257, 0.257, 0.257], [0.498, 0.498, 0.498]]
}

=====

{
  "formula": "CrTe3Pb",
  "functional": "PBE",
  "state": "relaxed",
  "total_magnetization_mub_per_atom": 0.60,
  "formation_energy_uncorrected_mev_per_atom": 111,
  "de_polymorph_mev_per_atom": 0,
  "lattice_angstrom": [[5.297, 0.000, 0.000], [0.000, 5.297, 0.000], [0.000, 0.000, 5.297]],
  "species": ["Cr", "Te", "Te", "Te", "Pb"],
  "fractional_positions": [[0.000, 0.000, 0.000], [0.000, 0.000, 0.500], [0.000, 0.500, 0.000], [0.500, 0.000, 0.000], [0.500, 0.500, 0.500]]
}

=====

{
  "formula": "CrTe2Pb",
  "functional": "PBE",
  "state": "relaxed",
  "total_magnetization_mub_per_atom": 1.00,
  "formation_energy_uncorrected_mev_per_atom": -43,
  "lattice_angstrom": [[4.383, 0.000, 0.000], [0.000, 6.172, 0.000], [0.000, 0.000, 4.397]],
  "species": ["Cr", "Te", "Te", "Pb"],
  "fractional_positions": [[0.000, 0.000, 0.000], [0.000, 0.500, 0.999], [0.500, 0.000, 0.501], [0.500, 0.500, 0.499]]
}

=====

{
  "formula": "CrTe2Pb",
  "functional": "PBE",
  "state": "relaxed",
  "total_magnetization_mub_per_atom": 0.99,
  "formation_energy_uncorrected_mev_per_atom": 187,
  "lattice_angstrom": [[5.387, 0.000, 0.000], [0.000, 5.387, 0.000], [0.000, 0.000, 3.777]],
  "species": ["Cr", "Te", "Te", "Pb"],
  "fractional_positions": [[0.000, 0.000, 0.000], [0.000, 0.500, 0.500], [0.500, 0.000, 0.500], [0.500, 0.500, 0.000]]
}

=====

{
  "formula": "Cr5Te8Pb",
  "functional": "PBE",
  "state": "relaxed",
  "total_magnetization_mub_per_atom": 1.14,
  "formation_energy_uncorrected_mev_per_atom": -185,
  "lattice_angstrom": [[10.438, -1.999, 0.000], [10.438, 1.999, 0.000], [-2.425, 0.000, 9.149]],
  "species": ["Cr", "Cr", "Cr", "Cr", "Cr", "Te", "Te", "Te", "Te", "Te", "Te", "Te", "Te", "Pb"],
  "fractional_positions": [[0.000, 0.000, 0.000], [0.045, 0.045, 0.345], [0.339, 0.339, 0.024], [0.639, 0.639, 0.702], [0.688, 0.688, 0.054], [0.107, 0.107, 0.879], [0.167, 0.167, 0.532], [0.261, 0.261, 0.216], [0.424, 0.424, 0.841], [0.514, 0.514, 0.522], [0.580, 0.580, 0.178], [0.768, 0.768, 0.863], [0.913, 0.913, 0.182], [0.895, 0.895, 0.520]]
}

=====

Number 1: DOS(E_F) 0.74 states/eV per atom. Number 2: DOS(E_F) 1.37 states/eV per atom. Number 3: DOS(E_F) 0.74 states/eV per atom. Number 4: DOS(E_F) 0.26 states/eV per atom. Number 5: DOS(E_F) 0.49 states/eV per atom. Number 6: DOS(E_F) 0.75 states/eV per atom. Number 7: DOS(E_F) 0.67 states/eV per atom. Number 8: DOS(E_F) 0.46 states/eV per atom. Number 9: DOS(E_F) 0.76 states/eV per atom. Number 10: DOS(E_F) 0.38 states/eV per atom. Number 11: DOS(E_F) 0.45 states/eV per atom. Number 12: DOS(E_F) 0.33 states/eV per atom.